Density functional theory data (GGA-PBE) for a geometry-optimized Pr8Dy5In structure.

Calculated values
VASP energy in eV/atom: -4.48
Energy of formation from the pure elements in eV per atom: 0.095

Unit cell a=8.929 b=9.080 c=8.929 alpha=123.28 beta=123.56 gamma=83.75
Sites, in units of the cell vectors:
Pr 0.432 0.417 0.487
Pr 0.660 0.685 0.102
Pr 0.070 0.583 0.015
Pr 0.590 0.923 0.875
Pr 0.418 0.315 0.976
Pr 0.952 0.077 0.666
Pr 0.767 0.270 0.397
Pr 0.127 0.730 0.497
Dy 0.799 0.722 0.614
Dy 0.501 0.000 0.501
Dy 0.076 0.047 0.320
Dy 0.893 0.278 0.077
Dy 0.273 0.953 0.028
In 0.194 0.500 0.694


Density functional theory data (GGA-PBE) for a geometry-optimized Pr4DyIn4 structure.

Calculated values
VASP energy in eV/atom: -3.97
Energy of formation from the pure elements in eV per atom: -0.114

Unit cell a=7.325 b=7.325 c=10.883 alpha=90.00 beta=90.00 gamma=90.00
Sites, in units of the cell vectors:
In 0.500 0.251 0.764
In 0.749 0.500 0.236
In 0.249 0.000 0.264
In 0.751 0.000 0.264
In 0.251 0.500 0.236
In 0.000 0.249 0.736
In 0.000 0.751 0.736
In 0.500 0.749 0.764
Pr 0.500 0.221 0.072
Pr 0.000 0.279 0.428
Pr 0.721 0.000 0.572
Pr 0.779 0.500 0.928
Pr 0.000 0.721 0.428
Pr 0.221 0.500 0.928
Pr 0.500 0.779 0.072
Pr 0.279 0.000 0.572
Dy 0.500 0.500 0.500
Dy 0.000 0.000 0.000


no.,V (A^3/atom),density of states at the Fermi level (states/eV per atom)
1,34.59,1.52
2,32.44,0.77